Record 1
# MnBeSe2 | Alexandria via LeMat-Bulk | PBE | relaxed
# M_tot	1.15	μB per atom
# DFT total energy	-4.95	eV/atom
data_MnBeSe2
_cell_length_a 3.4689
_cell_length_b 3.4689
_cell_length_c 15.0306
_cell_angle_alpha 90.00
_cell_angle_beta 90.00
_cell_angle_gamma 90.00
_symmetry_space_group_name_H-M 'I -4 m 2'
_symmetry_Int_Tables_number 119
_symmetry_space_group_name_Hall 'I -4 -2'
loop_
_atom_site_label
_atom_site_fract_x
_atom_site_fract_y
_atom_site_fract_z
Mn1 0.0000 0.0000 0.0000
Be1 0.0000 0.5000 0.7500
Se1 0.0000 0.0000 0.5000
Se2 0.0000 0.5000 0.2500



Record 2
# Mg4Sc5Os | Alexandria via LeMat-Bulk | PBE | relaxed
# M_tot	0.07	μB per atom
# energy relative to the elements	-0.15	eV/atom
data_Mg4Sc5Os
_cell_length_a 3.2601
_cell_length_b 3.2601
_cell_length_c 20.8916
_cell_angle_alpha 90.00
_cell_angle_beta 90.00
_cell_angle_gamma 90.00
_symmetry_space_group_name_H-M 'P 4/m m m'
_symmetry_Int_Tables_number 123
_symmetry_space_group_name_Hall '-P 4 2'
loop_
_atom_site_label
_atom_site_fract_x
_atom_site_fract_y
_atom_site_fract_z
Mg1 0.0000 0.0000 0.1051
Mg2 0.0000 0.0000 0.3143
Sc1 0.5000 0.5000 0.0000
Sc2 0.5000 0.5000 0.2100
Sc3 0.5000 0.5000 0.4268
Os1 0.0000 0.0000 0.5000



Record 3
# NaSr2Ca2 | Alexandria via LeMat-Bulk | PBE | relaxed
# relative energy among the computed polymorphs	11.9	kJ per mole of atoms
# M_tot	0.00	μB per atom
# energy relative to the elements	0.14	eV/atom
data_NaSr2Ca2
_cell_length_a 8.9539
_cell_length_b 8.9539
_cell_length_c 6.0810
_cell_angle_alpha 90.00
_cell_angle_beta 90.00
_cell_angle_gamma 90.00
_symmetry_space_group_name_H-M 'P 4/m b m'
_symmetry_Int_Tables_number 127
_symmetry_space_group_name_Hall '-P 4 2ab'
loop_
_atom_site_label
_atom_site_fract_x
_atom_site_fract_y
_atom_site_fract_z
Na1 0.0000 0.0000 0.0000
Sr1 0.1647 0.3353 0.5000
Ca1 0.1426 0.6426 0.0000